A relaxed CeFeGe3 crystal. Source: Alexandria, functional GGA-PBEsol.

- crystal system = tetragonal
- energy (eV per atom) = -6.63
- energy of formation from the pure elements (eV per atom) = -0.5596
- total moment (μB per formula unit) = 0.0

abc: 5.7306 5.7306 5.7306
angles: 136.77 136.77 62.79
Fractional positions:
Ce  0.0000  0.0000  0.0000
Fe  0.3285  0.3285  0.0000
Ge  0.2373  0.7373  0.5000
Ge  0.5562  0.5562  0.0000
Ge  0.7373  0.2373  0.5000

***

A relaxed BeWCl2 crystal. Source: Alexandria, functional GGA-PBEsol.

- crystal system = tetragonal
- energy (eV per atom) = -4.40
- ΔE to the lowest computed polymorph (eV/f.u.) = 4.88
- total moment (μB per formula unit) = 1.7
- ΔE_f (raw) (eV/atom) = 1.056

abc: 5.6894 5.6894 5.6894
angles: 144.69 144.69 50.80
Fractional positions:
Be  0.0000  0.0000  0.0000
W  0.2500  0.7500  0.5000
Cl  0.5000  0.5000  0.0000
Cl  0.7500  0.2500  0.5000

***

A relaxed TaZn2Rh crystal. Source: Alexandria, functional GGA-PBEsol.

- crystal system = monoclinic
- energy (eV per atom) = -6.09
- energy of formation from the pure elements (eV per atom) = -0.1252
- total moment (μB per formula unit) = 0.0

abc: 4.7198 4.7198 4.7294
angles: 101.31 101.31 34.61
Fractional positions:
Ta  0.0000  0.0000  0.0000
Zn  0.2437  0.2437  0.7333
Zn  0.7563  0.7563  0.2667
Rh  0.5000  0.5000  0.5000

***

A relaxed K2CuF4 crystal. Source: Alexandria, functional GGA-PBEsol.

- crystal system = orthorhombic
- energy (eV per atom) = -4.34
- ΔE to the lowest computed polymorph (eV/f.u.) = 0.00
- total moment (μB per formula unit) = 1.0
- ΔE_f (raw) (eV/atom) = -2.295

abc: 6.9765 6.9765 5.7636
angles: 90.00 90.00 48.80
Fractional positions:
K  0.1424  0.1424  0.0000
K  0.3576  0.3576  0.5000
K  0.6424  0.6424  0.5000
K  0.8576  0.8576  0.0000
Cu  0.0000  0.0000  0.5000
Cu  0.5000  0.5000  0.0000
F  0.1540  0.1540  0.5000
F  0.2375  0.7625  0.7373
F  0.2625  0.7375  0.2374
F  0.3460  0.3460  0.0000
F  0.6540  0.6540  0.0000
F  0.7375  0.2625  0.7627
F  0.7625  0.2375  0.2626
F  0.8460  0.8460  0.5000

***

A relaxed ZrFe4W crystal. Source: Alexandria, functional GGA-PBEsol.

- crystal system = cubic
- energy (eV per atom) = -9.88
- energy of formation from the pure elements (eV per atom) = -0.0915
- total moment (μB per formula unit) = 4.2

abc: 4.7532 4.7532 4.7532
angles: 60.00 60.00 60.00
Fractional positions:
Zr  0.0000  0.0000  0.0000
Fe  0.3751  0.3751  0.3751
Fe  0.3751  0.3751  0.8748
Fe  0.3751  0.8748  0.3751
Fe  0.8748  0.3751  0.3751
W  0.7500  0.7500  0.7500

***

A relaxed Al3ReC crystal. Source: Alexandria, functional GGA-PBEsol.

- crystal system = cubic
- energy (eV per atom) = -5.28
- energy of formation from the pure elements (eV per atom) = 1.7654
- total moment (μB per formula unit) = 1.4

abc: 4.7158 4.7158 4.7158
angles: 90.00 90.00 90.00
Fractional positions:
Al  0.0000  0.0000  0.5000
Al  0.0000  0.5000  0.0000
Al  0.5000  0.0000  0.0000
Re  0.0000  0.0000  0.0000
C  0.5000  0.5000  0.5000

***

A relaxed HgSN2O crystal. Source: Alexandria, functional GGA-PBEsol.

- crystal system = tetragonal
- energy (eV per atom) = -2.89
- total moment (μB per formula unit) = 6.4
- ΔE_f (raw) (eV/atom) = 2.561

abc: 4.2274 4.2274 5.1288
angles: 90.00 90.00 90.00
Fractional positions:
Hg  0.0000  0.0000  0.0000
S  0.0000  0.0000  0.5000
N  0.0000  0.5000  0.0000
N  0.5000  0.0000  0.0000
O  0.5000  0.5000  0.5000

***

A relaxed Zn6Mo crystal. Source: Alexandria, functional GGA-PBEsol.

- crystal system = cubic
- energy (eV per atom) = -3.05
- energy of formation from the pure elements (eV per atom) = -0.0112
- total moment (μB per formula unit) = 0.0

abc: 5.3573 5.3573 5.3573
angles: 60.00 60.00 60.00
Fractional positions:
Zn  0.0000  0.0000  0.5000
Zn  0.0000  0.5000  0.0000
Zn  0.0000  0.5000  0.5000
Zn  0.5000  0.0000  0.0000
Zn  0.5000  0.0000  0.5000
Zn  0.5000  0.5000  0.0000
Mo  0.0000  0.0000  0.0000

***

A relaxed TlPtRh crystal. Source: Alexandria, functional GGA-PBEsol.

- crystal system = cubic
- energy (eV per atom) = -5.55
- energy of formation from the pure elements (eV per atom) = 0.3651
- total moment (μB per formula unit) = 0.2

abc: 4.3630 4.3630 4.3630
angles: 60.00 60.00 60.00
Fractional positions:
Tl  0.0000  0.0000  0.0000
Pt  0.2500  0.2500  0.2500
Rh  0.5000  0.5000  0.5000

***

A relaxed Sr2Tl crystal. Source: Alexandria, functional GGA-PBEsol.

- crystal system = tetragonal
- energy (eV per atom) = -2.42
- energy of formation from the pure elements (eV per atom) = -0.3186
- total moment (μB per formula unit) = 0.0

abc: 6.7631 6.7631 6.7631
angles: 106.84 106.84 114.87
Fractional positions:
Sr  0.1822  0.6822  0.8645
Sr  0.3178  0.1822  0.5000
Sr  0.6822  0.8178  0.5000
Sr  0.8178  0.3178  0.1355
Tl  0.2500  0.2500  0.0000
Tl  0.7500  0.7500  0.0000

***

A relaxed NaCdBi crystal. Source: Alexandria, functional GGA-PBEsol.

- crystal system = hexagonal
- energy (eV per atom) = -2.54
- energy of formation from the pure elements (eV per atom) = -0.2490
- total moment (μB per formula unit) = 0.0

abc: 4.9245 4.9245 7.8179
angles: 90.00 90.00 120.00
Fractional positions:
Na  0.0000  0.0000  0.0000
Na  0.0000  0.0000  0.5000
Cd  0.3333  0.6667  0.1843
Cd  0.6667  0.3333  0.6843
Bi  0.3333  0.6667  0.7934
Bi  0.6667  0.3333  0.2934

***

A relaxed KCrMo crystal. Source: Alexandria, functional GGA-PBEsol.

- crystal system = tetragonal
- energy (eV per atom) = -6.63
- energy of formation from the pure elements (eV per atom) = 1.0870
- ΔE to the lowest computed polymorph (eV/f.u.) = 0.01
- total moment (μB per formula unit) = 1.1

abc: 7.1097 7.1097 7.1097
angles: 154.78 154.78 35.97
Fractional positions:
K  0.0000  0.0000  0.0000
Cr  0.2953  0.2953  0.0000
Mo  0.7211  0.7211  0.0000

***

A relaxed La2YCd crystal. Source: Alexandria, functional GGA-PBEsol.

- crystal system = tetragonal
- energy (eV per atom) = -4.84
- energy of formation from the pure elements (eV per atom) = -0.1666
- total moment (μB per formula unit) = 0.0

abc: 3.6711 3.6711 8.8215
angles: 90.00 90.00 90.00
Fractional positions:
La  0.0000  0.0000  0.0000
La  0.5000  0.5000  0.2797
Y  0.0000  0.0000  0.5540
Cd  0.5000  0.5000  0.7581

***

A relaxed TcGeOsAu2 crystal. Source: Alexandria, functional GGA-PBEsol.

- crystal system = tetragonal
- energy (eV per atom) = -5.71
- energy of formation from the pure elements (eV per atom) = 1.5391
- total moment (μB per formula unit) = 1.6

abc: 5.0022 5.0022 4.5209
angles: 90.00 90.00 90.00
Fractional positions:
Tc  0.0000  0.0000  0.0000
Ge  0.5000  0.5000  0.0000
Os  0.0000  0.0000  0.5000
Au  0.0000  0.5000  0.5000
Au  0.5000  0.0000  0.5000

***

A relaxed Al22Mo5 crystal. Source: Alexandria, functional GGA-PBEsol.

- crystal system = orthorhombic
- energy (eV per atom) = -5.76
- energy of formation from the pure elements (eV per atom) = -0.2476
- total moment (μB per formula unit) = 0.0

abc: 36.7194 5.1799 36.9205
angles: 83.75 8.06 88.19
Fractional positions:
Al  0.0974  0.4148  0.0857
Al  0.1106  0.5488  0.4069
Al  0.1272  0.9693  0.1169
Al  0.1331  0.4634  0.1228
Al  0.1429  0.8615  0.4305
Al  0.1643  0.8479  0.1526
Al  0.2045  0.9829  0.9632
Al  0.2289  0.2711  0.8088
Al  0.2493  0.4111  0.3450
Al  0.2528  0.7392  0.3958
Al  0.2554  0.9050  0.8389
Al  0.2711  0.2289  0.6912
Al  0.2868  0.4006  0.0455
Al  0.3163  0.8431  0.7012
Al  0.3919  0.8007  0.5525
Al  0.4006  0.2868  0.2671
Al  0.4111  0.2493  0.9946
Al  0.4148  0.0974  0.4021
Al  0.4312  0.7269  0.4400
Al  0.4412  0.5588  0.0211
Al  0.4634  0.1331  0.2807
Al  0.4844  0.6550  0.3071
Al  0.5488  0.1106  0.9337
Al  0.5588  0.4412  0.9789
Al  0.6379  0.8542  0.5108
Al  0.6550  0.4844  0.5535
Al  0.6849  0.8195  0.3885
Al  0.6965  0.9429  0.5950
Al  0.6975  0.9950  0.8581
Al  0.7269  0.4312  0.4019
Al  0.7392  0.2528  0.6121
Al  0.8007  0.3919  0.2550
Al  0.8100  0.8481  0.8188
Al  0.8195  0.6849  0.1071
Al  0.8431  0.3163  0.1394
Al  0.8479  0.1643  0.8352
Al  0.8481  0.8100  0.5231
Al  0.8542  0.6379  0.9972
Al  0.8615  0.1429  0.5651
Al  0.9050  0.2554  0.0007
Al  0.9429  0.6965  0.7656
Al  0.9693  0.1272  0.7866
Al  0.9829  0.2045  0.8494
Al  0.9950  0.6975  0.4493
Mo  0.0020  0.0020  0.4980
Mo  0.1647  0.3417  0.9450
Mo  0.3050  0.7014  0.0853
Mo  0.3417  0.1647  0.5486
Mo  0.4133  0.6240  0.3049
Mo  0.5921  0.9451  0.6260
Mo  0.6240  0.4133  0.6579
Mo  0.7014  0.3050  0.9083
Mo  0.7520  0.7520  0.2480
Mo  0.9451  0.5921  0.8367

***

A relaxed Rb2ZrF6 crystal. Source: Alexandria, functional GGA-PBEsol.

- crystal system = trigonal
- energy (eV per atom) = -5.95
- total moment (μB per formula unit) = 0.0
- ΔE_f (raw) (eV/atom) = -3.425

abc: 6.0943 6.0943 4.7719
angles: 90.00 90.00 120.00
Fractional positions:
Rb  0.3333  0.6667  0.1949
Rb  0.6667  0.3333  0.8051
Zr  0.0000  0.0000  0.5000
F  0.1597  0.3193  0.7310
F  0.1597  0.8403  0.7310
F  0.3193  0.1597  0.2690
F  0.6807  0.8403  0.7310
F  0.8403  0.1597  0.2690
F  0.8403  0.6807  0.2690

***

A relaxed SrLi2Ca crystal. Source: Alexandria, functional GGA-PBEsol.

- crystal system = tetragonal
- energy (eV per atom) = -1.95
- energy of formation from the pure elements (eV per atom) = 0.0254
- ΔE to the lowest computed polymorph (eV/f.u.) = 0.00
- total moment (μB per formula unit) = 0.0

abc: 5.7389 5.7389 5.7389
angles: 119.79 119.79 90.37
Fractional positions:
Sr  0.0000  0.0000  0.0000
Li  0.2500  0.7500  0.5000
Li  0.7500  0.2500  0.5000
Ca  0.5000  0.5000  0.0000

***

A relaxed LiMgCd2 crystal. Source: Alexandria, functional GGA-PBEsol.

- crystal system = tetragonal
- energy (eV per atom) = -1.72
- energy of formation from the pure elements (eV per atom) = -0.1969
- total moment (μB per formula unit) = 0.0

abc: 4.9331 4.9331 4.9331
angles: 125.52 125.52 80.68
Fractional positions:
Li  0.0000  0.0000  0.0000
Mg  0.5000  0.5000  0.0000
Cd  0.2500  0.7500  0.5000
Cd  0.7500  0.2500  0.5000

***

A relaxed Sr2ReTe crystal. Source: Alexandria, functional GGA-PBEsol.

- crystal system = monoclinic
- energy (eV per atom) = -4.95
- ΔE to the lowest computed polymorph (eV/f.u.) = 0.00
- total moment (μB per formula unit) = 1.0
- ΔE_f (raw) (eV/atom) = 0.188

abc: 6.2579 6.2579 5.4800
angles: 108.02 108.02 32.52
Fractional positions:
Sr  0.0000  0.0000  0.0000
Sr  0.1956  0.1956  0.6460
Re  0.7579  0.7579  0.1855
Te  0.4210  0.4210  0.4386

***

A relaxed CaHfSe2 crystal. Source: Alexandria, functional GGA-PBEsol.

- crystal system = trigonal
- energy (eV per atom) = -5.92
- ΔE to the lowest computed polymorph (eV/f.u.) = 0.55
- total moment (μB per formula unit) = 0.0
- ΔE_f (raw) (eV/atom) = -0.832

abc: 8.6870 8.6870 8.6870
angles: 26.26 26.26 26.26
Fractional positions:
Ca  0.0000  0.0000  0.0000
Hf  0.5000  0.5000  0.5000
Se  0.4014  0.4014  0.4014
Se  0.5986  0.5986  0.5986

***

A relaxed Ta2NiOs crystal. Source: Alexandria, functional GGA-PBEsol.

- crystal system = tetragonal
- energy (eV per atom) = -11.12
- energy of formation from the pure elements (eV per atom) = -0.2470
- ΔE to the lowest computed polymorph (eV/f.u.) = 0.00
- total moment (μB per formula unit) = 0.0

abc: 4.6177 4.6177 4.6177
angles: 127.80 127.80 76.95
Fractional positions:
Ta  0.2500  0.7500  0.5000
Ta  0.7500  0.2500  0.5000
Ni  0.0000  0.0000  0.0000
Os  0.5000  0.5000  0.0000

***

A relaxed Cd2AsSe crystal. Source: Alexandria, functional GGA-PBEsol.

- crystal system = cubic
- energy (eV per atom) = -2.62
- ΔE to the lowest computed polymorph (eV/f.u.) = 0.73
- total moment (μB per formula unit) = 0.0
- ΔE_f (raw) (eV/atom) = 0.223

abc: 4.8905 4.8905 4.8905
angles: 60.00 60.00 60.00
Fractional positions:
Cd  0.0000  0.0000  0.0000
Cd  0.2500  0.2500  0.2500
As  0.5000  0.5000  0.5000
Se  0.7500  0.7500  0.7500

***

A relaxed InTc2As crystal. Source: Alexandria, functional GGA-PBEsol.

- crystal system = monoclinic
- energy (eV per atom) = -7.48
- energy of formation from the pure elements (eV per atom) = 0.1707
- ΔE to the lowest computed polymorph (eV/f.u.) = 0.00
- total moment (μB per formula unit) = 0.0

abc: 2.9822 3.7972 5.7894
angles: 90.00 102.80 90.00
Fractional positions:
In  0.0000  0.0000  0.0000
Tc  0.3583  0.5000  0.7167
Tc  0.6417  0.5000  0.2833
As  0.0000  0.0000  0.5000

***

A relaxed AlOsRu2 crystal. Source: Alexandria, functional GGA-PBEsol.

- crystal system = orthorhombic
- energy (eV per atom) = -9.21
- energy of formation from the pure elements (eV per atom) = -0.0465
- total moment (μB per formula unit) = 0.0

abc: 4.5672 4.5672 2.7333
angles: 90.00 90.00 106.79
Fractional positions:
Al  0.0000  0.0000  0.0000
Os  0.5000  0.5000  0.0000
Ru  0.0000  0.5000  0.5000
Ru  0.5000  0.0000  0.5000

***

A relaxed CuICl crystal. Source: Alexandria, functional GGA-PBEsol.

- crystal system = triclinic
- energy (eV per atom) = -2.99
- total moment (μB per formula unit) = 0.0
- ΔE_f (raw) (eV/atom) = -0.289

abc: 4.0921 6.4043 6.5734
angles: 64.73 76.35 81.36
Fractional positions:
Cu  0.2226  0.2620  0.0095
Cu  0.7774  0.7380  0.9905
I  0.4240  0.0547  0.7336
I  0.5760  0.9453  0.2664
Cl  0.0991  0.4717  0.2282
Cl  0.9009  0.5283  0.7718

***

A relaxed LuInPd2 crystal. Source: Alexandria, functional GGA-PBEsol.

- crystal system = cubic
- energy (eV per atom) = -5.82
- energy of formation from the pure elements (eV per atom) = -0.8801
- total moment (μB per formula unit) = 0.0

abc: 4.6640 4.6640 4.6640
angles: 60.00 60.00 60.00
Fractional positions:
Lu  0.0000  0.0000  0.0000
In  0.5000  0.5000  0.5000
Pd  0.2500  0.2500  0.2500
Pd  0.7500  0.7500  0.7500